1.
## HgOs2W (PBE)

Data for a relaxed HgOs2W crystal.

abc: 4.8209 4.8209 2.8875
angles: 90.00 90.00 106.99
Closest atoms and distances in Å follow each position.
Positions (direct):
Os 0.5000 0.5000 0.0000  4 W 2.81, 4 Hg 2.81, 4 Os 2.87-2.89
Os 0.0000 0.0000 0.0000  4 Hg 2.81, 4 W 2.81, 4 Os 2.87-2.89
W 0.5000 0.0000 0.5000  8 Os 2.81, 2 Hg 2.87, 2 W 2.89
Hg 0.0000 0.5000 0.5000  8 Os 2.81, 2 W 2.87, 2 Hg 2.89

energy of formation from the pure elements	0.7506	eV/atom
SG	Cmmm, No. 65
magnetization	0.000	μB per formula unit



2.
## HgOsW2 (PBE)

Data for a relaxed HgOsW2 crystal.

abc: 4.9437 4.9437 4.9437
angles: 131.78 131.78 70.57
Closest atoms and distances in Å follow each position.
Positions (direct):
Hg 0.5000 0.5000 0.0000  8 W 2.85-2.86, 4 Os 2.85
Os 0.7500 0.2500 0.5000  4 Hg 2.85, 8 W 2.85-2.86
W 0.2500 0.7500 0.5000  4 Hg 2.85, 4 W 2.85, 4 Os 2.86
W 0.0000 0.0000 0.0000  4 Os 2.85, 4 W 2.85, 4 Hg 2.86

energy of formation from the pure elements	0.6896	eV/atom
SG	I-4m2, No. 119
magnetization	0.000	μB per formula unit



3.
## HgOsW2 (PBE)

Data for a relaxed HgOsW2 crystal.

abc: 9.7955 9.7955 9.7955
angles: 16.68 16.68 16.68
Closest atoms and distances in Å follow each position.
Positions (direct):
W 0.2542 0.2542 0.2542  9 W 2.84-2.91, 3 Hg 3.05
W 0.0039 0.0039 0.0039  3 Os 2.67, 9 W 2.84-2.91
Hg 0.4986 0.4986 0.4986  6 Hg 2.84, 3 Os 3.04, 3 W 3.05
Os 0.7434 0.7434 0.7434  3 W 2.67, 6 Os 2.84

energy of formation from the pure elements	0.4894	eV/atom
SG	R3m, No. 160
magnetization	0.000	μB per formula unit



4.
## HgOs2W (PBE)

Data for a relaxed HgOs2W crystal.

abc: 2.8526 3.7867 6.0776
angles: 90.00 90.00 90.00
Closest atoms and distances in Å follow each position.
Positions (direct):
Os 0.0000 0.0000 0.0286  3 Os 2.69-2.85, 4 W 2.73, 4 Hg 2.91
Os 0.0000 0.0000 0.4714  3 Os 2.69-2.85, 4 W 2.73, 4 Hg 2.91
Hg 0.5000 0.5000 0.7500  2 Hg 2.85, 8 Os 2.91, 2 W 3.04
W 0.5000 0.5000 0.2500  8 Os 2.73, 2 W 2.85, 2 Hg 3.04

energy of formation from the pure elements	0.5510	eV/atom
SG	Pmmm, No. 47
magnetization	0.000	μB per formula unit



5.
## HgOsW2 (PBE)

Data for a relaxed HgOsW2 crystal.

abc: 4.9856 4.9856 2.8379
angles: 89.97 89.97 111.92
Closest atoms and distances in Å follow each position.
Positions (direct):
W 0.5000 0.5000 0.0000  4 W 2.79-2.84, 4 Hg 2.87, 4 Os 2.87
W 0.0000 0.0000 0.0000  4 W 2.79-2.84, 4 Os 2.87, 4 Hg 2.87
Os 0.0000 0.5000 0.5000  2 Hg 2.79, 2 Os 2.84, 8 W 2.87
Hg 0.5000 0.0000 0.5000  2 Os 2.79, 2 Hg 2.84, 8 W 2.87

energy of formation from the pure elements	0.6191	eV/atom
SG	Cmmm, No. 65
magnetization	0.000	μB per formula unit



6.
## HgOsW2 (PBE)

Data for a relaxed HgOsW2 crystal.

abc: 5.0374 5.0374 4.7880
angles: 78.59 78.59 34.05
Closest atoms and distances in Å follow each position.
Positions (direct):
Os 0.2500 0.2500 0.2500  6 W 2.77-2.92, 4 Hg 2.81, 2 Os 2.95
Hg 0.7500 0.7500 0.7500  4 Os 2.81, 6 W 2.89-2.97, 2 Hg 2.95
W 0.9904 0.9904 0.0257  4 W 2.64-2.95, 3 Os 2.77-2.92, 1 Hg 2.89
W 0.5096 0.5096 0.4743  4 W 2.64-2.95, 3 Os 2.77-2.92, 1 Hg 2.89

energy of formation from the pure elements	0.6263	eV/atom
SG	C2/m, No. 12
magnetization	0.000	μB per formula unit